Below is a geometry-optimized La3BiIr structure, with properties calculated at the PBE level.

As for the crystal system: orthorhombic. The density comes out at 8.20 Mg/m³. The calculation puts the offset from the most stable computed form at 0.068 eV per atom. For the magnetization, the calculation gives 0.000 μB per atom. Its formation energy from the elements is -0.762 eV/atom. As for the total energy: -125.330 eV/cell.

Lattice parameters (Å, degrees): 8.3835 11.1651 7.0758 90.00 90.00 90.00
Space group Pnma (No. 62)
One atom of each set of equivalent atoms:
La1 0.0225 0.2500 0.0987
La2 0.1809 0.0416 0.6654
Bi1 0.0999 0.7500 0.4355
Ir1 0.0000 0.0000 0.0000